Entry 1:
Here is crystalline Cs2LiAg at its relaxed geometry from Alexandria via LeMat-Bulk. Energies are from PBEsol.

```
Cs2LiAg
1.0
6.375 0.000 0.000
3.188 5.521 0.000
3.188 1.840 5.205
Cs Ag Li
2 1 1
direct
0.250 0.250 0.250 Cs
0.750 0.750 0.750 Cs
0.500 0.500 0.500 Ag
0.000 0.000 0.000 Li
```

Space group: Fm-3m, No. 225
Magnetic moment (μB/cell): 0.00
Energy (eV/atom): -1.5498
DFT formation energy (meV/atom): 241


Entry 2:
Here is crystalline K2MnW at its relaxed geometry from Alexandria via LeMat-Bulk. Energies are from PBEsol.

```
K2MnW
1.0
-0.975 -0.943 2.905
0.768 -3.027 -0.725
9.775 1.572 3.790
K Mn W
2 1 1
direct
0.000 0.000 0.927 K
0.500 0.500 0.330 K
0.000 0.000 0.579 Mn
0.500 0.500 0.664 W
```

Space group: P4mm, No. 99
Magnetic moment (μB/cell): 1.99
Energy (eV/atom): -5.5074
DFT formation energy (meV/atom): 951
Excess energy over the best structure of this formula in the dataset (meV per atom): 0